Compound: Pr2NCl3
Source: the Alexandria database
Functional: GGA-PBEsol
Structure: relaxed

## Properties
Space-group type: Ibam (72)
E_form (uncorrected): -2.115 eV per atom

abc: 6.0822 6.7716 8.1598
angles: 114.52 111.88 90.00
Element x y z (fractional)
Pr  0.4058  0.0841  0.8116
Pr  0.5942  0.9159  0.1884
Pr  0.9058  0.7275  0.8116
Pr  0.0942  0.2725  0.1884
Cl  0.8001  0.9838  0.6003
Cl  0.2500  0.5000  0.0000
Cl  0.6999  0.3835  0.3997
Cl  0.1999  0.0162  0.3997
Cl  0.3001  0.6165  0.6003
Cl  0.7500  0.5000  0.0000
N  0.2500  0.0000  0.0000
N  0.7500  0.0000  0.0000


Compound: Pr5S2N3Cl2
Source: the Alexandria database
Functional: GGA-PBEsol
Structure: relaxed

## Properties
Space-group type: C2/m (12)
E_form (uncorrected): -1.804 eV per atom

abc: 4.0327 8.0904 16.7565
angles: 101.69 90.00 104.43
Element x y z (fractional)
Pr  0.7658  0.5317  0.2079
Pr  0.5749  0.1499  0.5956
Pr  0.1414  0.2828  0.4234
Pr  0.4821  0.9642  0.8348
Pr  0.2342  0.4683  0.7921
Pr  0.8847  0.7694  0.9693
Pr  0.8586  0.7172  0.5766
Pr  0.4251  0.8501  0.4044
Pr  0.5179  0.0358  0.1652
Pr  0.1153  0.2306  0.0307
N  0.9938  0.9876  0.0903
N  0.6486  0.2972  0.1100
N  0.0062  0.0124  0.9097
N  0.5756  0.1511  0.4546
N  0.4244  0.8489  0.5454
N  0.3514  0.7028  0.8900
Cl  0.6799  0.3598  0.8936
Cl  0.8378  0.6757  0.7425
Cl  0.3201  0.6402  0.1064
Cl  0.1622  0.3243  0.2575
S  0.9606  0.9211  0.2918
S  0.2134  0.4269  0.5975
S  0.0394  0.0789  0.7082
S  0.7866  0.5731  0.4025


Compound: Pr6S4N3Cl
Source: the Alexandria database
Functional: GGA-PBEsol
Structure: relaxed

## Properties
Space-group type: Pnma (62)
E_form (uncorrected): -1.846 eV per atom

abc: 4.0300 11.5700 26.6059
angles: 90.00 90.00 90.00
Element x y z (fractional)
S  0.7500  0.4574  0.6349
S  0.7500  0.9574  0.8651
S  0.7500  0.3529  0.0061
S  0.2500  0.0426  0.1349
S  0.2500  0.6471  0.9939
S  0.2500  0.6793  0.8599
S  0.2500  0.2122  0.8965
S  0.7500  0.3207  0.1401
S  0.7500  0.7878  0.1035
S  0.7500  0.8529  0.4939
S  0.2500  0.1471  0.5061
S  0.2500  0.1793  0.6401
S  0.2500  0.5426  0.3651
S  0.7500  0.2878  0.3965
S  0.2500  0.7122  0.6035
S  0.7500  0.8207  0.3599
Pr  0.7500  0.6191  0.2948
Pr  0.2500  0.4436  0.9256
Pr  0.2500  0.8809  0.7948
Pr  0.7500  0.5564  0.0744
Pr  0.2500  0.4086  0.4599
Pr  0.2500  0.3809  0.7052
Pr  0.7500  0.5914  0.5401
Pr  0.7500  0.2636  0.5660
Pr  0.2500  0.4449  0.1919
Pr  0.7500  0.0564  0.4256
Pr  0.2500  0.2396  0.3308
Pr  0.7500  0.7604  0.6692
Pr  0.2500  0.9086  0.0401
Pr  0.7500  0.0551  0.6919
Pr  0.2500  0.9449  0.3081
Pr  0.7500  0.7636  0.9340
Pr  0.7500  0.2604  0.8308
Pr  0.7500  0.1191  0.2052
Pr  0.7500  0.5551  0.8081
Pr  0.2500  0.2364  0.0660
Pr  0.2500  0.7364  0.4340
Pr  0.2500  0.7396  0.1692
Pr  0.2500  0.9436  0.5744
Pr  0.7500  0.0914  0.9599
N  0.2500  0.5624  0.1243
N  0.7500  0.9376  0.6243
N  0.7500  0.8853  0.7404
N  0.2500  0.0982  0.0094
N  0.2500  0.6147  0.2404
N  0.7500  0.4376  0.8757
N  0.2500  0.1147  0.2596
N  0.7500  0.3853  0.7596
N  0.7500  0.9018  0.9906
N  0.7500  0.4018  0.5094
N  0.2500  0.0624  0.3757
N  0.2500  0.5982  0.4906
Cl  0.2500  0.1312  0.7671
Cl  0.7500  0.3688  0.2671
Cl  0.7500  0.8688  0.2329
Cl  0.2500  0.6312  0.7329